1.
LaHf2: optimized geometry, GGA-PBE.

abc: 6.1534 6.1534 6.1534
angles: 60.00 60.00 60.00
Atoms (fractional coordinates):
La 0.1250 0.1250 0.1250
La 0.8750 0.8750 0.8750
Hf 0.0000 0.5000 0.5000
Hf 0.5000 0.0000 0.5000
Hf 0.5000 0.5000 0.0000
Hf 0.5000 0.5000 0.5000

Output
Raw total energy: -0.5812 Ry per atom
Space-group type: Fd-3m (227)
Mass density: 10.0 Mg/m³
DOS(E_F): 5.6 states/eV/f.u.
Formation energy from the elements: 0.370 eV/atom
Crystal system: cubic

***

2.
La3Hf: optimized geometry, GGA-PBE.

abc: 7.2203 7.2203 5.7531
angles: 90.00 90.00 120.00
Atoms (fractional coordinates):
La 0.1753 0.3506 0.2500
La 0.1753 0.8247 0.2500
La 0.3506 0.1753 0.7500
La 0.6494 0.8247 0.2500
La 0.8247 0.1753 0.7500
La 0.8247 0.6494 0.7500
Hf 0.3333 0.6667 0.7500
Hf 0.6667 0.3333 0.2500

Output
Raw total energy: -0.4401 Ry per atom
Offset from the most stable computed form: 0.005 eV per atom
Space-group type: P6_3/mmc (194)
Mass density: 7.6 Mg/m³
DOS(E_F): 7.4 states/eV/f.u.
Formation energy from the elements: 0.196 eV/atom
Crystal system: hexagonal

***

3.
La3Hf: optimized geometry, GGA-PBE.

abc: 5.0312 5.0312 5.0312
angles: 90.00 90.00 90.00
Atoms (fractional coordinates):
La 0.0000 0.0000 0.5000
La 0.0000 0.5000 0.0000
La 0.5000 0.0000 0.0000
Hf 0.5000 0.5000 0.5000

Output
Raw total energy: -0.4405 Ry per atom
Offset from the most stable computed form: 0.000 eV per atom
Space-group type: Pm-3m (221)
Mass density: 7.8 Mg/m³
DOS(E_F): 5.2 states/eV/f.u.
Formation energy from the elements: 0.190 eV/atom
Crystal system: cubic

***

4.
La3Hf: optimized geometry, GGA-PBE.

abc: 3.3766 3.3846 11.3260
angles: 90.00 90.00 90.00
Atoms (fractional coordinates):
La 0.0000 0.0000 0.0000
La 0.0000 0.5000 0.2935
La 0.5000 0.5000 0.7464
Hf 0.5000 0.0000 0.5020

Output
Raw total energy: -0.4319 Ry per atom
Offset from the most stable computed form: 0.117 eV per atom
Space-group type: Pmm2 (25)
Mass density: 7.6 Mg/m³
DOS(E_F): 6.5 states/eV/f.u.
Formation energy from the elements: 0.307 eV/atom
Crystal system: orthorhombic

***

5.
LiLa3Hf: optimized geometry, GGA-PBE.

abc: 5.8696 5.8696 5.8696
angles: 90.00 90.00 90.00
Atoms (fractional coordinates):
Li 0.0000 0.0000 0.0000
La 0.0000 0.5000 0.5000
La 0.5000 0.0000 0.5000
La 0.5000 0.5000 0.0000
Hf 0.5000 0.5000 0.5000

Output
Raw total energy: -0.3522 Ry per atom
Offset from the most stable computed form: 0.000 eV per atom
Space-group type: Pm-3m (221)
Mass density: 4.9 Mg/m³
DOS(E_F): 6.5 states/eV/f.u.
Formation energy from the elements: 0.538 eV/atom
Crystal system: cubic

***

6.
LiLaHf3: optimized geometry, GGA-PBE.

abc: 4.9238 4.9238 4.9238
angles: 90.00 90.00 90.00
Atoms (fractional coordinates):
Li 0.0000 0.0000 0.0000
La 0.5000 0.5000 0.5000
Hf 0.0000 0.0000 0.5000
Hf 0.0000 0.5000 0.0000
Hf 0.5000 0.0000 0.0000

Output
Raw total energy: -0.4877 Ry per atom
Offset from the most stable computed form: 0.000 eV per atom
Space-group type: Pm-3m (221)
Mass density: 9.5 Mg/m³
DOS(E_F): 6.5 states/eV/f.u.
Formation energy from the elements: 0.705 eV/atom
Crystal system: cubic

***

7.
Li4LaHf2: optimized geometry, GGA-PBE.

abc: 5.0789 5.0789 15.6059
angles: 90.00 90.00 90.00
Atoms (fractional coordinates):
Li 0.0000 0.0000 0.2085
Li 0.0000 0.0000 0.7915
Li 0.0000 0.5000 0.0000
Li 0.0000 0.5000 0.5000
Li 0.5000 0.0000 0.0000
Li 0.5000 0.0000 0.5000
Li 0.5000 0.5000 0.2915
Li 0.5000 0.5000 0.7085
La 0.0000 0.0000 0.0000
La 0.5000 0.5000 0.5000
Hf 0.0000 0.0000 0.4127
Hf 0.0000 0.0000 0.5873
Hf 0.5000 0.5000 0.0873
Hf 0.5000 0.5000 0.9127

Output
Raw total energy: -0.2692 Ry per atom
Space-group type: I4/mmm (139)
Mass density: 4.3 Mg/m³
DOS(E_F): 7.2 states/eV/f.u.
Formation energy from the elements: 0.979 eV/atom
Crystal system: tetragonal

***

8.
LiLa3Hf: optimized geometry, GGA-PBE.

abc: 5.3679 5.3679 5.3679
angles: 90.00 90.00 90.00
Atoms (fractional coordinates):
Li 0.0000 0.0000 0.0000
La 0.0000 0.0000 0.5000
La 0.0000 0.5000 0.0000
La 0.5000 0.0000 0.0000
Hf 0.5000 0.5000 0.5000

Output
Raw total energy: -0.3388 Ry per atom
Offset from the most stable computed form: 0.183 eV per atom
Space-group type: Pm-3m (221)
Mass density: 6.5 Mg/m³
DOS(E_F): 9.6 states/eV/f.u.
Formation energy from the elements: 0.720 eV/atom
Crystal system: cubic

***

9.
Li2LaHf: optimized geometry, GGA-PBE.

abc: 8.0686 8.0686 5.9396
angles: 90.00 90.00 90.00
Atoms (fractional coordinates):
Li 0.2338 0.2500 0.1250
Li 0.2500 0.7338 0.3750
Li 0.2500 0.7662 0.8750
Li 0.2662 0.2500 0.6250
Li 0.7338 0.7500 0.6250
Li 0.7500 0.2338 0.8750
Li 0.7500 0.2662 0.3750
Li 0.7662 0.7500 0.1250
La 0.0000 0.0000 0.5000
La 0.0000 0.5000 0.7500
La 0.5000 0.0000 0.2500
La 0.5000 0.5000 0.0000
Hf 0.0000 0.0000 0.0000
Hf 0.0000 0.5000 0.2500
Hf 0.5000 0.0000 0.7500
Hf 0.5000 0.5000 0.5000

Output
Raw total energy: -0.3006 Ry per atom
Space-group type: I-42d (122)
Mass density: 5.7 Mg/m³
DOS(E_F): 3.7 states/eV/f.u.
Formation energy from the elements: 0.587 eV/atom
Crystal system: tetragonal

***

10.
Li3LaHf: optimized geometry, GGA-PBE.

abc: 4.8750 4.8750 4.8750
angles: 90.00 90.00 90.00
Atoms (fractional coordinates):
Li 0.0000 0.0000 0.5000
Li 0.0000 0.5000 0.0000
Li 0.5000 0.0000 0.0000
La 0.0000 0.0000 0.0000
Hf 0.5000 0.5000 0.5000

Output
Raw total energy: -0.2045 Ry per atom
Offset from the most stable computed form: 0.362 eV per atom
Space-group type: Pm-3m (221)
Mass density: 4.8 Mg/m³
DOS(E_F): 15.5 states/eV/f.u.
Formation energy from the elements: 1.342 eV/atom
Crystal system: cubic

***

11.
LiLaHf2: optimized geometry, GGA-PBE.

abc: 7.2011 7.2011 7.2011
angles: 90.00 90.00 90.00
Atoms (fractional coordinates):
Li 0.0000 0.0000 0.0000
Li 0.0000 0.5000 0.5000
Li 0.5000 0.0000 0.5000
Li 0.5000 0.5000 0.0000
La 0.0000 0.0000 0.5000
La 0.0000 0.5000 0.0000
La 0.5000 0.0000 0.0000
La 0.5000 0.5000 0.5000
Hf 0.2500 0.2500 0.2500
Hf 0.2500 0.2500 0.7500
Hf 0.2500 0.7500 0.2500
Hf 0.2500 0.7500 0.7500
Hf 0.7500 0.2500 0.2500
Hf 0.7500 0.2500 0.7500
Hf 0.7500 0.7500 0.2500
Hf 0.7500 0.7500 0.7500

Output
Raw total energy: -0.4494 Ry per atom
Offset from the most stable computed form: 0.018 eV per atom
Space-group type: Fm-3m (225)
Mass density: 8.9 Mg/m³
DOS(E_F): 5.3 states/eV/f.u.
Formation energy from the elements: 0.573 eV/atom
Crystal system: cubic

***

12.
LiLaHf3: optimized geometry, GGA-PBE.

abc: 5.2383 5.2383 5.2383
angles: 90.00 90.00 90.00
Atoms (fractional coordinates):
Li 0.0000 0.0000 0.0000
La 0.5000 0.5000 0.5000
Hf 0.0000 0.5000 0.5000
Hf 0.5000 0.0000 0.5000
Hf 0.5000 0.5000 0.0000

Output
Raw total energy: -0.4288 Ry per atom
Offset from the most stable computed form: 0.801 eV per atom
Space-group type: Pm-3m (221)
Mass density: 7.9 Mg/m³
DOS(E_F): 29.9 states/eV/f.u.
Formation energy from the elements: 1.506 eV/atom
Crystal system: cubic

***

13.
Li3LaHf: optimized geometry, GGA-PBE.

abc: 5.1544 5.1544 5.1544
angles: 90.00 90.00 90.00
Atoms (fractional coordinates):
Li 0.0000 0.0000 0.5000
Li 0.0000 0.5000 0.0000
Li 0.5000 0.0000 0.0000
La 0.5000 0.5000 0.5000
Hf 0.0000 0.0000 0.0000

Output
Raw total energy: -0.2311 Ry per atom
Offset from the most stable computed form: 0.000 eV per atom
Space-group type: Pm-3m (221)
Mass density: 4.1 Mg/m³
DOS(E_F): 8.9 states/eV/f.u.
Formation energy from the elements: 0.980 eV/atom
Crystal system: cubic

***

14.
LiLaHf2: optimized geometry, GGA-PBE.

abc: 4.2496 4.2496 21.8401
angles: 90.00 90.00 90.00
Atoms (fractional coordinates):
Li 0.0000 0.0000 0.0000
Li 0.0000 0.5000 0.2500
Li 0.5000 0.0000 0.7500
Li 0.5000 0.5000 0.5000
La 0.0000 0.0000 0.5000
La 0.0000 0.5000 0.7500
La 0.5000 0.0000 0.2500
La 0.5000 0.5000 0.0000
Hf 0.2431 0.7500 0.1250
Hf 0.2500 0.2431 0.8750
Hf 0.2500 0.2569 0.3750
Hf 0.2569 0.7500 0.6250
Hf 0.7431 0.2500 0.6250
Hf 0.7500 0.7431 0.3750
Hf 0.7500 0.7569 0.8750
Hf 0.7569 0.2500 0.1250

Output
Raw total energy: -0.4506 Ry per atom
Offset from the most stable computed form: 0.000 eV per atom
Space-group type: I-42d (122)
Mass density: 8.5 Mg/m³
DOS(E_F): 6.1 states/eV/f.u.
Formation energy from the elements: 0.556 eV/atom
Crystal system: tetragonal

***

15.
LiLa2HfN: optimized geometry, GGA-PBE.

abc: 5.3474 5.3474 4.2642
angles: 90.00 90.00 90.00
Atoms (fractional coordinates):
Li 0.0000 0.0000 0.0000
La 0.0000 0.5000 0.5000
La 0.5000 0.0000 0.5000
Hf 0.5000 0.5000 0.0000
N 0.5000 0.5000 0.5000

Output
Raw total energy: -0.4784 Ry per atom
Space-group type: P4/mmm (123)
Mass density: 6.5 Mg/m³
DOS(E_F): 6.4 states/eV/f.u.
Crystal system: tetragonal

***

16.
LiLaHfTiO6: optimized geometry, GGA-PBE.

abc: 5.6474 5.6474 5.6474
angles: 60.00 60.00 60.00
Atoms (fractional coordinates):
Li 0.0000 0.0000 0.0000
La 0.5000 0.5000 0.5000
Hf 0.7500 0.7500 0.7500
Ti 0.2500 0.2500 0.2500
O 0.0062 0.0062 0.4938
O 0.0062 0.4938 0.0062
O 0.0062 0.4938 0.4938
O 0.4938 0.0062 0.0062
O 0.4938 0.0062 0.4938
O 0.4938 0.4938 0.0062

Output
Raw total energy: -0.6239 Ry per atom
Space-group type: F-43m (216)
Mass density: 6.1 Mg/m³
DOS(E_F): 0.0 states/eV/f.u.
Crystal system: cubic

***

17.
LiLa2HfOs: optimized geometry, GGA-PBE.

abc: 5.4280 5.4280 4.8997
angles: 90.00 90.00 90.00
Atoms (fractional coordinates):
Li 0.0000 0.0000 0.0000
La 0.0000 0.5000 0.5000
La 0.5000 0.0000 0.5000
Hf 0.5000 0.5000 0.0000
Os 0.0000 0.0000 0.5000

Output
Raw total energy: -0.4390 Ry per atom
Offset from the most stable computed form: 0.000 eV per atom
Space-group type: P4/mmm (123)
Mass density: 7.5 Mg/m³
DOS(E_F): 6.8 states/eV/f.u.
Formation energy from the elements: 0.617 eV/atom
Crystal system: tetragonal

***

18.
LiLa2HfOs: optimized geometry, GGA-PBE.

abc: 5.5059 5.5059 4.5992
angles: 90.00 90.00 90.00
Atoms (fractional coordinates):
Li 0.0000 0.0000 0.0000
La 0.0000 0.5000 0.5000
La 0.5000 0.0000 0.5000
Hf 0.0000 0.0000 0.5000
Os 0.5000 0.5000 0.0000

Output
Raw total energy: -0.3699 Ry per atom
Offset from the most stable computed form: 0.941 eV per atom
Space-group type: P4/mmm (123)
Mass density: 7.8 Mg/m³
DOS(E_F): 7.5 states/eV/f.u.
Formation energy from the elements: 1.558 eV/atom
Crystal system: tetragonal

***

19.
LiLaHf2Os: optimized geometry, GGA-PBE.

abc: 5.0945 5.0945 5.6410
angles: 90.00 90.00 90.00
Atoms (fractional coordinates):
Li 0.0000 0.0000 0.0000
La 0.5000 0.5000 0.0000
Hf 0.0000 0.5000 0.5000
Hf 0.5000 0.0000 0.5000
Os 0.5000 0.5000 0.5000

Output
Raw total energy: -0.5342 Ry per atom
Space-group type: P4/mmm (123)
Mass density: 7.9 Mg/m³
DOS(E_F): 7.9 states/eV/f.u.
Formation energy from the elements: 0.327 eV/atom
Crystal system: tetragonal

***

20.
LiLaHfPd2: optimized geometry, GGA-PBE.

abc: 4.5547 4.5547 4.7240
angles: 90.00 90.00 90.00
Atoms (fractional coordinates):
Li 0.0000 0.0000 0.0000
La 0.0000 0.0000 0.5000
Hf 0.5000 0.5000 0.5000
Pd 0.0000 0.5000 0.0000
Pd 0.5000 0.0000 0.0000

Output
Raw total energy: -0.3857 Ry per atom
Space-group type: P4/mmm (123)
Mass density: 9.1 Mg/m³
DOS(E_F): 4.1 states/eV/f.u.
Formation energy from the elements: 0.188 eV/atom
Crystal system: tetragonal

***

21.
RbLiLaHf2: optimized geometry, GGA-PBE.

abc: 5.2656 5.2656 5.6194
angles: 90.00 90.00 90.00
Atoms (fractional coordinates):
Rb 0.0000 0.0000 0.0000
Li 0.5000 0.5000 0.5000
La 0.0000 0.0000 0.5000
Hf 0.0000 0.5000 0.0000
Hf 0.5000 0.0000 0.0000

Output
Raw total energy: -0.2695 Ry per atom
Space-group type: P4/mmm (123)
Mass density: 6.3 Mg/m³
DOS(E_F): 7.8 states/eV/f.u.
Formation energy from the elements: 1.877 eV/atom
Crystal system: tetragonal

***

22.
Li2LaHfRh: optimized geometry, GGA-PBE.

abc: 4.5490 4.5490 5.2844
angles: 90.00 90.00 90.00
Atoms (fractional coordinates):
Li 0.0000 0.5000 0.0000
Li 0.5000 0.0000 0.0000
La 0.0000 0.0000 0.0000
Hf 0.0000 0.0000 0.5000
Rh 0.5000 0.5000 0.5000

Output
Raw total energy: -0.2772 Ry per atom
Space-group type: P4/mmm (123)
Mass density: 6.6 Mg/m³
DOS(E_F): 4.0 states/eV/f.u.
Formation energy from the elements: 1.440 eV/atom
Crystal system: tetragonal

***

23.
LiLaHf2S: optimized geometry, GGA-PBE.

abc: 5.3165 5.3165 4.5863
angles: 90.00 90.00 90.00
Atoms (fractional coordinates):
Li 0.0000 0.0000 0.0000
La 0.0000 0.0000 0.5000
Hf 0.0000 0.5000 0.5000
Hf 0.5000 0.0000 0.5000
S 0.5000 0.5000 0.0000

Output
Raw total energy: -0.3423 Ry per atom
Space-group type: P4/mmm (123)
Mass density: 6.9 Mg/m³
DOS(E_F): 5.3 states/eV/f.u.
Crystal system: tetragonal

***

24.
LiLa2HfS5: optimized geometry, GGA-PBE.

abc: 8.5130 8.5130 11.8036
angles: 90.00 90.00 153.32
Atoms (fractional coordinates):
Li 0.0484 0.9516 0.5000
Li 0.9516 0.0484 0.0000
La 0.3698 0.6302 0.3525
La 0.3897 0.6103 0.7366
La 0.6103 0.3897 0.2366
La 0.6302 0.3698 0.8525
Hf 0.3030 0.6970 0.0600
Hf 0.6970 0.3030 0.5600
S 0.0047 0.9953 0.8195
S 0.1460 0.8540 0.0493
S 0.1901 0.8099 0.4115
S 0.2134 0.7866 0.7068
S 0.4467 0.5533 0.1015
S 0.5533 0.4467 0.6015
S 0.7866 0.2134 0.2068
S 0.8099 0.1901 0.9115
S 0.8540 0.1460 0.5493
S 0.9953 0.0047 0.3195

Output
Raw total energy: -0.4828 Ry per atom
Space-group type: Cmc2_1 (36)
Mass density: 5.4 Mg/m³
DOS(E_F): 1.6 states/eV/f.u.
Crystal system: orthorhombic

***

25.
LiLa2HfSe5: optimized geometry, GGA-PBE.

abc: 8.9427 8.9427 12.2420
angles: 90.00 90.00 153.46
Atoms (fractional coordinates):
Li 0.0557 0.9443 0.5000
Li 0.9443 0.0557 0.0000
La 0.3709 0.6291 0.3551
La 0.3895 0.6105 0.7397
La 0.6105 0.3895 0.2397
La 0.6291 0.3709 0.8551
Hf 0.3041 0.6959 0.0638
Hf 0.6959 0.3041 0.5638
Se 0.0042 0.9958 0.8215
Se 0.1461 0.8539 0.0522
Se 0.1923 0.8077 0.4115
Se 0.2140 0.7860 0.7120
Se 0.4481 0.5519 0.1045
Se 0.5519 0.4481 0.6045
Se 0.7860 0.2140 0.2120
Se 0.8077 0.1923 0.9115
Se 0.8539 0.1461 0.5522
Se 0.9958 0.0042 0.3215

Output
Raw total energy: -0.4425 Ry per atom
Space-group type: Cmc2_1 (36)
Mass density: 6.5 Mg/m³
DOS(E_F): 1.7 states/eV/f.u.
Crystal system: orthorhombic

***

26.
Li2LaHfTa: optimized geometry, GGA-PBE.

abc: 4.9510 4.9510 5.2857
angles: 90.00 90.00 90.00
Atoms (fractional coordinates):
Li 0.0000 0.5000 0.0000
Li 0.5000 0.0000 0.0000
La 0.0000 0.0000 0.5000
Hf 0.5000 0.5000 0.5000
Ta 0.0000 0.0000 0.0000

Output
Raw total energy: -0.3457 Ry per atom
Space-group type: P4/mmm (123)
Mass density: 6.6 Mg/m³
DOS(E_F): 5.5 states/eV/f.u.
Formation energy from the elements: 1.409 eV/atom
Crystal system: tetragonal

***

27.
Li2LaHfTc: optimized geometry, GGA-PBE.

abc: 5.0269 5.0269 4.7793
angles: 90.00 90.00 90.00
Atoms (fractional coordinates):
Li 0.0000 0.5000 0.0000
Li 0.5000 0.0000 0.0000
La 0.0000 0.0000 0.5000
Hf 0.5000 0.5000 0.0000
Tc 0.5000 0.5000 0.5000

Output
Raw total energy: -0.3745 Ry per atom
Space-group type: P4/mmm (123)
Mass density: 5.9 Mg/m³
DOS(E_F): 5.5 states/eV/f.u.
Formation energy from the elements: 0.719 eV/atom
Crystal system: tetragonal